1.
Below is an optimized crystal structure of PdAu2S, with properties calculated at the PBE level.

The formation energy without anion corrections is 0.82 eV/f.u.

The space group is I-42d (No. 122) and the conventional cell measures 3.826, 3.826 and 19.815 Å, with angles of 90.00, 90.00 and 90.00 degrees. The distinct sites, in fractional coordinates, are Pd at (0.000, 0.000, 0.000), Au at (0.248, 0.250, 0.625) and S at (0.000, 0.000, 0.500).

---

2.
Below is an optimized crystal structure of Ta2Ti5NbOs2, with properties calculated at the PBE level.

As for the formation energy: -0.016 eV per atom.

The space group is P4/mbm (No. 127) and the conventional cell measures 9.132, 9.132 and 4.187 Å, with angles of 90.00, 90.00 and 90.00 degrees. The distinct sites, in fractional coordinates, are Ta at (0.176, 0.324, 0.000), Ti at (0.000, 0.500, 0.500), Ti at (0.060, 0.793, 0.500), Nb at (0.000, 0.000, 0.000) and Os at (0.127, 0.627, 0.000).

---

3.
Below is an optimized crystal structure of Fe5Si, with properties calculated at the PBE level.

The formation energy without anion corrections is 1.72 eV/f.u.

The space group is P6/mmm (No. 191) and the conventional cell measures 4.5226, 4.5226 and 4.1720 Å, with angles of 90.00, 90.00 and 120.00 degrees. The distinct sites, in fractional coordinates, are Fe at (0.0000, 0.5000, 0.0000), Fe at (0.3333, 0.6667, 0.5000) and Si at (0.0000, 0.0000, 0.5000).

---

4.
Below is an optimized crystal structure of Th4SbAs2S, with properties calculated at the PBE level.

The formation energy without anion corrections is -10.71 eV/f.u.

The space group is P2/m (No. 10) and the conventional cell measures 7.403, 4.266 and 7.417 Å, with angles of 90.00, 109.39 and 90.00 degrees. The distinct sites, in fractional coordinates, are Th at (0.231, 0.000, 0.237), Th at (0.237, 0.500, 0.752), Sb at (0.500, 0.500, 0.500), As at (0.000, 0.500, 0.000), As at (0.500, 0.000, 0.000) and S at (0.000, 0.000, 0.500).

---

5.
Below is an optimized crystal structure of Al2MoRu, with properties calculated at the PBE level.

As for the formation energy: -0.174 eV per atom.

The space group is F-43m (No. 216) and the conventional cell measures 6.170, 6.170 and 6.170 Å, with angles of 90.00, 90.00 and 90.00 degrees. The distinct sites, in fractional coordinates, are Al at (0.000, 0.000, 0.000), Al at (0.250, 0.250, 0.250), Mo at (0.000, 0.000, 0.500) and Ru at (0.250, 0.250, 0.750).

---

6.
Below is an optimized crystal structure of HfHgSeN2, with properties calculated at the PBE level.

The formation energy without anion corrections is 1.21 eV/f.u.

The space group is P4/mmm (No. 123) and the conventional cell measures 4.107, 4.107 and 5.760 Å, with angles of 90.00, 90.00 and 90.00 degrees. The distinct sites, in fractional coordinates, are Hf at (0.000, 0.000, 0.000), Hg at (0.500, 0.500, 0.500), Se at (0.000, 0.000, 0.500) and N at (0.000, 0.500, 0.000).

---

7.
Below is an optimized crystal structure of Np3Tl5O12, with properties calculated at the PBE level.

The formation energy without anion corrections is -39.74 eV/f.u.

The space group is P-62m (No. 189) and the conventional cell measures 11.2821, 11.2821 and 3.5016 Å, with angles of 90.00, 90.00 and 120.00 degrees. The distinct sites, in fractional coordinates, are Np at (0.0000, 0.6614, 0.0000), Tl at (0.0000, 0.2836, 0.5000), Tl at (0.3333, 0.6667, 0.5000), O at (0.0000, 0.5470, 0.5000), O at (0.0000, 0.7762, 0.5000) and O at (0.1948, 0.7626, 0.0000).

---

8.
Below is an optimized crystal structure of Nb2GaBr2, with properties calculated at the PBE level.

The formation energy without anion corrections is 2.20 eV/f.u.

The space group is P4/mbm (No. 127) and the conventional cell measures 7.899, 7.899 and 3.111 Å, with angles of 90.00, 90.00 and 90.00 degrees. The distinct sites, in fractional coordinates, are Nb at (0.170, 0.330, 0.000), Ga at (0.000, 0.000, 0.000) and Br at (0.134, 0.634, 0.500).

---

9.
Below is an optimized crystal structure of AlHgRh2, with properties calculated at the PBE level.

As for the formation energy: 0.167 eV per atom.

The space group is I-42d (No. 122) and the conventional cell measures 4.033, 4.033 and 17.740 Å, with angles of 90.00, 90.00 and 90.00 degrees. The distinct sites, in fractional coordinates, are Al at (0.000, 0.000, 0.000), Hg at (0.000, 0.000, 0.500) and Rh at (0.195, 0.250, 0.125).

---

10.
Below is an optimized crystal structure of DyLuZn2, with properties calculated at the PBE level.

As for the formation energy: -0.347 eV per atom.

The space group is Fm-3m (No. 225) and the conventional cell measures 7.066, 7.066 and 7.066 Å, with angles of 90.00, 90.00 and 90.00 degrees. The distinct sites, in fractional coordinates, are Dy at (0.000, 0.000, 0.000), Lu at (0.000, 0.000, 0.500) and Zn at (0.250, 0.250, 0.250).

---

11.
Below is an optimized crystal structure of Ce2Br5Cl, with properties calculated at the PBE level.

The formation energy without anion corrections is -13.06 eV/f.u.

The space group is Immm (No. 71) and the conventional cell measures 4.900, 9.113 and 11.185 Å, with angles of 90.00, 90.00 and 90.00 degrees. The distinct sites, in fractional coordinates, are Ce at (0.000, 0.000, 0.245), Br at (0.000, 0.000, 0.500), Br at (0.000, 0.316, 0.166) and Cl at (0.000, 0.500, 0.500).

---

12.
Below is an optimized crystal structure of LaHfAu, with properties calculated at the PBE level.

As for the formation energy: -0.257 eV per atom.

The space group is P1 (No. 1) and the conventional cell measures 3.438, 5.568 and 7.758 Å, with angles of 90.14, 102.75 and 90.11 degrees. The distinct sites, in fractional coordinates, are La at (0.000, 0.000, 0.000), La at (0.317, 0.007, 0.632), Hf at (0.154, 0.574, 0.302), Hf at (0.479, 0.497, 0.954), Au at (0.657, 0.168, 0.313) and Au at (0.822, 0.507, 0.640).